Entry 1:
A relaxed PaFeH crystal, computed with GGA-PBE.

Cell: 3.4788 3.8710 6.4338 Å, 90.00 90.00 90.00°
With the nearest neighbours (Å) after each atom.
Space group Pmmn (No. 59, origin choice 2)
Unique sites:
1 Pa 0.2500 0.2500 0.2167 (multiplicity 2)  4 H 2.30-2.32, 2 Fe 2.40
2 Fe 0.2500 0.7500 0.5274 (multiplicity 2)  2 Pa 2.40, 4 Fe 2.63
3 H 0.2500 0.7500 0.0176 (multiplicity 2)  4 Pa 2.30-2.32

---

Entry 2:
A relaxed TaFe2Hg crystal, computed with GGA-PBE.

Cell: 4.1660 4.1660 3.3408 Å, 90.00 90.00 90.00°
With the nearest neighbours (Å) after each atom.
Space group P4/mmm (No. 123)
Unique sites:
1 Ta 0.0000 0.0000 0.0000 (multiplicity 1)  8 Fe 2.67, 4 Hg 2.95
2 Fe 0.0000 0.5000 0.5000 (multiplicity 2)  4 Hg 2.67, 4 Ta 2.67, 4 Fe 2.95
3 Hg 0.5000 0.5000 0.0000 (multiplicity 1)  8 Fe 2.67, 4 Ta 2.95

Properties
- ΔH_f (0 K): 28.11 kJ per mole of atoms

---

Entry 3:
A relaxed Nb4HS5 crystal, computed with GGA-PBE.

Cell: 15.0870 3.2998 6.9732 Å, 90.00 102.76 90.00°
With the nearest neighbours (Å) after each atom.
Space group C2/m (No. 12)
Unique sites:
1 Nb 0.0021 0.0000 0.2756 (multiplicity 4)  2 H 2.28, 4 S 2.46-2.54
2 Nb 0.1446 0.5000 0.5748 (multiplicity 4)  1 H 2.13
3 H 0.0000 0.5000 0.5000 (multiplicity 2)  6 Nb 2.13-2.28
4 S 0.0000 0.5000 0.0000 (multiplicity 2)  4 Nb 2.53
5 S 0.1639 0.0000 0.8406 (multiplicity 4)  3 Nb 2.45-2.46
6 S 0.1742 0.0000 0.3293 (multiplicity 4)  4 Nb 2.49-2.67

---

Entry 4:
A relaxed Re3Ru5 crystal, computed with GGA-PBE.

Cell: 6.3583 4.8995 8.3909 Å, 90.00 112.12 90.00°
With the nearest neighbours (Å) after each atom.
Space group P2_1/m (No. 11)
Unique sites:
1 Re 0.0130 0.2500 0.4324 (multiplicity 2)  6 Ru 2.53-2.83, 2 Re 2.73
2 Re 0.4062 0.2500 0.0006 (multiplicity 2)  9 Ru 2.59-2.86, 2 Re 2.73
3 Re 0.4167 0.7500 0.4317 (multiplicity 2)  6 Ru 2.53-2.82, 2 Re 2.74
4 Ru 0.0057 0.2500 0.7579 (multiplicity 2)  3 Re 2.55-2.75, 3 Ru 2.68-2.69
5 Ru 0.1725 0.7500 0.9995 (multiplicity 2)  2 Ru 2.68-2.69, 3 Re 2.68-2.86
6 Ru 0.2482 0.2500 0.2444 (multiplicity 2)  3 Re 2.55-2.75, 3 Ru 2.69
7 Ru 0.3575 0.0002 0.7142 (multiplicity 4)  4 Ru 2.45-2.69, 4 Re 2.53-2.61

Properties
- ΔH_f (0 K): 32.63 kJ per mole of atoms

---

Entry 5:
A relaxed SrTeIr2 crystal, computed with GGA-PBE.

Cell: 4.1664 4.6395 5.5326 Å, 90.00 90.00 90.00°
With the nearest neighbours (Å) after each atom.
Space group Pmmm (No. 47)
Unique sites:
1 Sr 0.0000 0.0000 0.0000 (multiplicity 1)  8 Ir 3.35, 4 Te 3.61
2 Te 0.0000 0.5000 0.5000 (multiplicity 1)  4 Ir 2.60
3 Ir 0.5000 0.5000 0.2194 (multiplicity 2)  1 Ir 2.43, 2 Te 2.60

Properties
- Formation energy (no corrections): -58 meV/atom

---

Entry 6:
A relaxed Ac3Cu2Sn7 crystal, computed with GGA-PBE.

Cell: 4.7898 4.8232 14.5110 Å, 90.00 99.37 90.00°
With the nearest neighbours (Å) after each atom.
Space group P2/m (No. 10)
Unique sites:
1 Ac 0.0000 0.0000 0.0000 (multiplicity 1)  12 Sn 3.40-3.50, 2 Cu 3.73
2 Ac 0.3158 0.5000 0.6338 (multiplicity 2)  10 Sn 3.56-3.66, 4 Cu 3.70-3.74
3 Cu 0.1270 0.0000 0.2605 (multiplicity 2)  5 Sn 2.59-2.69
4 Sn 0.0918 0.5000 0.1767 (multiplicity 2)  2 Cu 2.69
5 Sn 0.2207 0.0000 0.4413 (multiplicity 2)  1 Cu 2.59
6 Sn 0.4132 0.0000 0.8230 (multiplicity 2)  2 Cu 2.67-2.68
7 Sn 0.5000 0.5000 0.0000 (multiplicity 1)  4 Ac 3.40, 8 Sn 3.47-3.50

Properties
- ΔH_f (0 K): -47.33 kJ per mole of atoms

---

Entry 7:
A relaxed CaLa2I crystal, computed with GGA-PBE.

Cell: 8.2900 8.2900 8.2900 Å, 90.00 90.00 90.00°
With the nearest neighbours (Å) after each atom.
Space group Fm-3m (No. 225)
Unique sites:
1 Ca 0.0000 0.0000 0.0000 (multiplicity 4)  8 La 3.59
2 La 0.2500 0.2500 0.2500 (multiplicity 8)  4 Ca 3.59, 4 I 3.59
3 I 0.0000 0.0000 0.5000 (multiplicity 4)  8 La 3.59

Properties
- Formation energy (no corrections): -85 meV/atom

---

Entry 8:
A relaxed BaPPb2 crystal, computed with GGA-PBE.

Cell: 4.0855 4.0855 27.7373 Å, 90.00 90.00 120.00°
With the nearest neighbours (Å) after each atom.
Space group R-3m (No. 166, hexagonal axes)
Unique sites:
1 Ba 0.0000 0.0000 0.0000 (multiplicity 3)  6 Pb 3.78, 6 Ba 4.09
2 P 0.0000 0.0000 0.5000 (multiplicity 3)  6 Pb 2.89
3 Pb 0.0000 0.0000 0.2270 (multiplicity 6)  3 P 2.89

Properties
- ΔH_f (0 K): -0.05 kJ per mole of atoms

---

Entry 9:
A relaxed PrAl4Au12 crystal, computed with GGA-PBE.

Cell: 8.9455 8.9455 8.9455 Å, 90.00 90.00 90.00°
With the nearest neighbours (Å) after each atom.
Space group Im-3 (No. 204)
Unique sites:
1 Pr 0.0000 0.0000 0.0000 (multiplicity 2)  12 Au 3.37
2 Al 0.2500 0.2500 0.2500 (multiplicity 8)  6 Au 2.53
3 Au 0.0000 0.3428 0.1568 (multiplicity 24)  2 Al 2.53, 2 Au 2.81

Properties
- ΔH_f (0 K): -20.19 kJ per mole of atoms

---

Entry 10:
A relaxed CuSi2Pt crystal, computed with GGA-PBE.

Cell: 4.0573 4.0573 6.8286 Å, 90.00 90.00 90.00°
With the nearest neighbours (Å) after each atom.
Space group I4/mmm (No. 139)
Unique sites:
1 Cu 0.0000 0.0000 0.0000 (multiplicity 2)  8 Si 2.65, 4 Pt 2.87
2 Si 0.0000 0.5000 0.2500 (multiplicity 4)  4 Pt 2.65, 4 Cu 2.65, 4 Si 2.87
3 Pt 0.0000 0.0000 0.5000 (multiplicity 2)  8 Si 2.65, 4 Cu 2.87

Properties
- Formation energy (no corrections): -29 meV/atom

---

Entry 11:
A relaxed TbPm3Dy2Y6 crystal, computed with GGA-PBE.

Cell: 6.2176 10.7612 11.8465 Å, 90.00 100.03 90.00°
With the nearest neighbours (Å) after each atom.
Space group C2/m (No. 12)
Unique sites:
1 Tb 0.0000 0.0000 0.0000 (multiplicity 2)  6 Y 3.55-3.56, 6 Dy 3.59
2 Pm 0.0000 0.1668 0.5000 (multiplicity 4)  6 Pm 3.59, 6 Y 3.60
3 Pm 0.0000 0.5000 0.5000 (multiplicity 2)  6 Pm 3.59, 6 Y 3.60
4 Dy 0.0000 0.3334 0.0000 (multiplicity 4)  6 Y 3.55-3.56, 3 Dy 3.59, 3 Tb 3.59
5 Y 0.2494 0.1667 0.2475 (multiplicity 8)  2 Dy 3.55, 1 Tb 3.56, 6 Y 3.59, 3 Pm 3.60
6 Y 0.2493 0.5000 0.2476 (multiplicity 4)  1 Tb 3.55, 2 Dy 3.56, 6 Y 3.59, 3 Pm 3.60

Properties
- ΔH_f (0 K): 1.62 kJ per mole of atoms

---

Entry 12:
A relaxed TaMn2Br crystal, computed with GGA-PBE.

Cell: 5.8142 5.8142 9.1529 Å, 90.00 90.00 90.00°
With the nearest neighbours (Å) after each atom.
Space group I-42d (No. 122)
Unique sites:
1 Ta 0.0000 0.0000 0.0000 (multiplicity 4)  4 Mn 2.43
2 Mn 0.2302 0.2500 0.6250 (multiplicity 8)  2 Br 2.28, 2 Ta 2.43
3 Br 0.0000 0.0000 0.5000 (multiplicity 4)  4 Mn 2.28

Properties
- Formation energy (no corrections): 1285 meV/atom

---

Asked for final energy across the records above, the calculation gives -7.13 -6.98 -7.27 -10.13 -5.69 -4.54 -3.44 -3.69 -3.68 -5.27 -5.56 -6.68 eV/atom in order.